Computed, not measured: a relaxed structure of La4AlGe2 at the GGA-PBE level of DFT.

a = 7.1027 Å, b = 6.5869 Å, c = 9.0012 Å
α = 90.00°, β = 104.12°, γ = 90.00°
Last column: nearest neighbours and their distance in Å.
Positions (direct):
La 0.1474 0.2500 0.0804  2 Ge 3.11-3.19, 1 Al 3.30
La 0.1721 0.7500 0.3472  4 Ge 3.09-3.45, 1 Al 3.10
La 0.3244 0.0021 0.7457  2 Al 3.20-3.44, 4 Ge 3.21-3.58, 2 La 3.27-3.32
La 0.3244 0.4979 0.7457  2 Al 3.20-3.44, 4 Ge 3.21-3.58, 2 La 3.27-3.32
La 0.6756 0.5021 0.2543  2 Al 3.20-3.44, 4 Ge 3.21-3.58, 2 La 3.27-3.32
La 0.6756 0.9979 0.2543  2 Al 3.20-3.44, 4 Ge 3.21-3.58, 2 La 3.27-3.32
La 0.8279 0.2500 0.6528  4 Ge 3.09-3.45, 1 Al 3.10
La 0.8526 0.7500 0.9196  2 Ge 3.11-3.19, 1 Al 3.30
Al 0.4167 0.2500 0.4349  1 Ge 2.46
Al 0.5833 0.7500 0.5651  1 Ge 2.46
Ge 0.0627 0.2500 0.4040  1 Al 2.46
Ge 0.3128 0.7500 0.0480  6 La 3.09-3.23
Ge 0.6872 0.2500 0.9520  6 La 3.09-3.23
Ge 0.9373 0.7500 0.5960  1 Al 2.46

Results
* calculated volume: 29.17 A^3/atom
* D(E_F): 15.16 states/eV/cell
* total energy: -73.17 eV per cell

---

Computed, not measured: a relaxed structure of MgRh2C2 at the GGA-PBE level of DFT.

a = 3.8165 Å, b = 3.8165 Å, c = 7.7355 Å
α = 90.00°, β = 90.00°, γ = 90.00°
Last column: nearest neighbours and their distance in Å.
Positions (direct):
Mg 0.0000 0.0000 0.0000  8 Rh 2.72, 8 C 2.80
Mg 0.5000 0.5000 0.5000  8 Rh 2.72, 8 C 2.80
Rh 0.0000 0.5000 0.2500  4 C 2.25
Rh 0.0000 0.5000 0.7500  4 C 2.25
Rh 0.5000 0.0000 0.2500  4 C 2.25
Rh 0.5000 0.0000 0.7500  4 C 2.25
C 0.0000 0.0000 0.4045  1 C 1.48
C 0.0000 0.0000 0.5955  1 C 1.48
C 0.5000 0.5000 0.0955  1 C 1.48
C 0.5000 0.5000 0.9045  1 C 1.48

Results
* calculated volume: 11.27 A^3/atom
* D(E_F): 4.35 states/eV/cell
* total energy: -66.39 eV per cell

---

Computed, not measured: a relaxed structure of Ce3AgGe6Pd2 at the GGA-PBE level of DFT.

a = 5.9683 Å, b = 5.9683 Å, c = 8.2642 Å
α = 90.00°, β = 90.00°, γ = 120.00°
Last column: nearest neighbours and their distance in Å.
Positions (direct):
Ce 0.0000 0.0000 0.0000  6 Ge 2.99
Ce 0.3333 0.6667 0.6198  9 Ge 3.12-3.22, 1 Pd 3.25
Ce 0.6667 0.3333 0.3802  9 Ge 3.12-3.22, 1 Pd 3.25
Ag 0.0000 0.0000 0.5000  6 Ge 2.69
Ge 0.1879 0.3758 0.2752  2 Ge 2.60, 1 Pd 2.64, 1 Ag 2.69
Ge 0.1879 0.8121 0.2752  2 Ge 2.60, 1 Pd 2.64, 1 Ag 2.69
Ge 0.3758 0.1879 0.7248  2 Ge 2.60, 1 Pd 2.64, 1 Ag 2.69
Ge 0.6242 0.8121 0.2752  2 Ge 2.60, 1 Pd 2.64, 1 Ag 2.69
Ge 0.8121 0.1879 0.7248  2 Ge 2.60, 1 Pd 2.64, 1 Ag 2.69
Ge 0.8121 0.6242 0.7248  2 Ge 2.60, 1 Pd 2.64, 1 Ag 2.69
Pd 0.3333 0.6667 0.0127  3 Ge 2.64
Pd 0.6667 0.3333 0.9873  3 Ge 2.64

Results
* calculated volume: 21.24 A^3/atom
* D(E_F): 15.68 states/eV/cell
* total energy: -63.30 eV per cell

---

Computed, not measured: a relaxed structure of LiTlN3 at the GGA-PBE level of DFT.

a = 3.7762 Å, b = 3.7762 Å, c = 3.7762 Å
α = 90.00°, β = 90.00°, γ = 90.00°
Last column: nearest neighbours and their distance in Å.
Positions (direct):
Li 0.0000 0.0000 0.0000  6 N 1.89
Tl 0.5000 0.5000 0.5000  12 N 2.67
N 0.0000 0.0000 0.5000  2 Li 1.89
N 0.0000 0.5000 0.0000  2 Li 1.89
N 0.5000 0.0000 0.0000  2 Li 1.89

Results
* calculated volume: 10.77 A^3/atom
* D(E_F): 3.25 states/eV/cell
* energy relative to the elements, uncorrected: 10.4 eV/f.u.